No. 1
Entry from the Alexandria database: an optimized crystal structure of Zr2Al2Sb (GGA-PBEsol).

It has space group I4/mmm (No. 139), with a = 4.2987 Å, b = 4.2987 Å, c = 12.0800 Å, α = 90.00°, β = 90.00° and γ = 90.00°. Symmetry generates all atoms from Zr at (0.0000, 0.5000, 0.2500), Al at (0.0000, 0.0000, 0.1008) and Sb at (0.0000, 0.0000, 0.5000).

Its volume is 22.3 Å³/atom. The formation energy without anion corrections is 21.9 kJ per mole of atoms. For the density, the calculation gives 5.33 Mg/m³.

---

No. 2
Entry from the Alexandria database: an optimized crystal structure of ZrAl2Sb (GGA-PBEsol).

It has space group C2/m (No. 12), with a = 5.6917 Å, b = 9.4259 Å, c = 3.1285 Å, α = 90.00°, β = 108.66° and γ = 90.00°. Symmetry generates all atoms from Zr at (0.0000, 0.0000, 0.0000), Al at (0.2500, 0.2500, 0.5000) and Sb at (0.0000, 0.5000, 0.0000).

Its volume is 19.9 Å³/atom. The formation energy without anion corrections is -13.0 kJ per mole of atoms. For the density, the calculation gives 5.57 Mg/m³.

---

No. 3
Entry from the Alexandria database: an optimized crystal structure of ZrAlSb2 (GGA-PBEsol).

It has space group Cm (No. 8), with a = 10.9945 Å, b = 3.1237 Å, c = 5.1922 Å, α = 90.00°, β = 102.44° and γ = 90.00°. Symmetry generates all atoms from Zr at (0.0000, 0.0000, 0.0000), Al at (0.2842, 0.0000, 0.6702), Sb at (0.0366, 0.5000, 0.5223) and Sb at (0.2504, 0.5000, 0.1584).

Its volume is 21.8 Å³/atom. The formation energy without anion corrections is -18.9 kJ per mole of atoms. For the density, the calculation gives 6.90 Mg/m³.

---

No. 4
Entry from the Alexandria database: an optimized crystal structure of Zr2AlSb (GGA-PBEsol).

It has space group F-43m (No. 216), with a = 6.8868 Å, b = 6.8868 Å, c = 6.8868 Å, α = 90.00°, β = 90.00° and γ = 90.00°. Symmetry generates all atoms from Zr at (0.0000, 0.0000, 0.0000), Zr at (0.2500, 0.2500, 0.2500), Al at (0.2500, 0.2500, 0.7500) and Sb at (0.0000, 0.0000, 0.5000).

Its volume is 20.4 Å³/atom. Its offset from the most stable computed form is 494 meV/atom. The formation energy without anion corrections is -1.0 kJ per mole of atoms. For the density, the calculation gives 6.74 Mg/m³.

---

No. 5
Entry from the Alexandria database: an optimized crystal structure of Zr2AlSb (GGA-PBEsol).

It has space group Cmmm (No. 65), with a = 4.1013 Å, b = 4.8618 Å, c = 8.2209 Å, α = 90.00°, β = 90.00° and γ = 90.00°. Symmetry generates all atoms from Zr at (0.0000, 0.0000, 0.2384), Al at (0.0000, 0.5000, 0.0000) and Sb at (0.0000, 0.5000, 0.5000).

Its volume is 20.5 Å³/atom. Its offset from the most stable computed form is 71 meV/atom. The formation energy without anion corrections is -41.8 kJ per mole of atoms. For the density, the calculation gives 6.71 Mg/m³.

---

No. 6
Entry from the Alexandria database: an optimized crystal structure of Sc3Al (GGA-PBEsol).

It has space group P4/mmm (No. 123), with a = 3.1867 Å, b = 3.1867 Å, c = 8.3900 Å, α = 90.00°, β = 90.00° and γ = 90.00°. Symmetry generates all atoms from Sc at (0.0000, 0.0000, 0.0000), Sc at (0.5000, 0.5000, 0.2750) and Al at (0.0000, 0.0000, 0.5000).

Its volume is 21.3 Å³/atom. As for the formation energy: -0.23 eV per atom. For the density, the calculation gives 3.15 Mg/m³.

---

No. 7
Entry from the Alexandria database: an optimized crystal structure of Sc2Al3 (GGA-PBEsol).

It has space group P-3m1 (No. 164), with a = 4.6079 Å, b = 4.6079 Å, c = 5.7235 Å, α = 90.00°, β = 90.00° and γ = 120.00°. Symmetry generates all atoms from Sc at (0.3333, 0.6667, 0.3387), Al at (0.0000, 0.0000, 0.5000) and Al at (0.3333, 0.6667, 0.8516).

Its volume is 21.0 Å³/atom. As for the formation energy: -0.10 eV per atom. For the density, the calculation gives 2.70 Mg/m³.

---

No. 8
Entry from the Alexandria database: an optimized crystal structure of Sc3Al (GGA-PBEsol).

It has space group Fm-3m (No. 225), with a = 6.9389 Å, b = 6.9389 Å, c = 6.9389 Å, α = 90.00°, β = 90.00° and γ = 90.00°. Symmetry generates all atoms from Sc at (0.0000, 0.0000, 0.0000), Sc at (0.2500, 0.2500, 0.2500) and Al at (0.0000, 0.0000, 0.5000).

Its volume is 20.9 Å³/atom. As for the formation energy: -0.15 eV per atom. For the density, the calculation gives 3.22 Mg/m³.

---

No. 9
Entry from the Alexandria database: an optimized crystal structure of Sc3Al (GGA-PBEsol).

It has space group Pm-3n (No. 223), with a = 5.5196 Å, b = 5.5196 Å, c = 5.5196 Å, α = 90.00°, β = 90.00° and γ = 90.00°. Symmetry generates all atoms from Sc at (0.0000, 0.2500, 0.5000) and Al at (0.0000, 0.0000, 0.0000).

Its volume is 21.0 Å³/atom. As for the formation energy: -0.19 eV per atom. For the density, the calculation gives 3.20 Mg/m³.

---

No. 10
Entry from the Alexandria database: an optimized crystal structure of Sc2Al (GGA-PBEsol).

It has space group P6_3/mmc (No. 194), with a = 4.8450 Å, b = 4.8450 Å, c = 6.0790 Å, α = 90.00°, β = 90.00° and γ = 120.00°. Symmetry generates all atoms from Sc at (0.0000, 0.0000, 0.0000), Sc at (0.3333, 0.6667, 0.2500) and Al at (0.3333, 0.6667, 0.7500).

Its volume is 20.6 Å³/atom. As for the formation energy: -0.35 eV per atom. For the density, the calculation gives 3.14 Mg/m³.

---

No. 11
Entry from the Alexandria database: an optimized crystal structure of ScAl2 (GGA-PBEsol).

It has space group Fd-3m (No. 227, origin choice 2), with a = 7.5236 Å, b = 7.5236 Å, c = 7.5236 Å, α = 90.00°, β = 90.00° and γ = 90.00°. Symmetry generates all atoms from Sc at (0.1250, 0.1250, 0.1250) and Al at (0.0000, 0.0000, 0.5000).

Its volume is 17.7 Å³/atom. As for the formation energy: -0.49 eV per atom. For the density, the calculation gives 3.09 Mg/m³.

---

No. 12
Entry from the Alexandria database: an optimized crystal structure of Sc8Al (GGA-PBEsol).

It has space group I4/mmm (No. 139), with a = 9.5657 Å, b = 9.5657 Å, c = 4.4082 Å, α = 90.00°, β = 90.00° and γ = 90.00°. Symmetry generates all atoms from Sc at (0.0000, 0.3325, 0.0000), Sc at (0.1605, 0.1605, 0.5000) and Al at (0.0000, 0.0000, 0.0000).

Its volume is 22.4 Å³/atom. As for the formation energy: -0.06 eV per atom. For the density, the calculation gives 3.18 Mg/m³.